# Zn11Ni9Pt4 (PBE-GGA, relaxed)
# Calculated formation energy: -630 kJ/mol of formula units
# DOS(E_F): 0.502 states/eV per atom
# Energy: -193.5 eV per cell
data_Zn11Ni9Pt4
_chemical_formula_sum 'Zn22 Ni18 Pt8'
_cell_length_a 12.759
_cell_length_b 17.598
_cell_length_c 2.787
_cell_angle_alpha 90.00
_cell_angle_beta 90.00
_cell_angle_gamma 90.00
_space_group_name_H-M_alt 'C m m m'
_space_group_IT_number 65
_space_group_name_Hall '-C 2 2'
loop_
_atom_site_label
_atom_site_type_symbol
_atom_site_fract_x
_atom_site_fract_y
_atom_site_fract_z
Zn1 Zn 0.000 0.000 0.000
Zn2 Zn 0.000 0.188 0.000
Zn3 Zn 0.000 0.367 0.000
Zn4 Zn 0.204 0.000 0.000
Zn5 Zn 0.224 0.179 0.000
Ni1 Ni 0.000 0.500 0.500
Ni2 Ni 0.103 0.097 0.500
Ni3 Ni 0.116 0.271 0.500
Pt1 Pt 0.165 0.418 0.500

***

# ZnNi2Pt (PBE-GGA, relaxed)
# Calculated formation energy: -66 kJ/mol of formula units
# DOS(E_F): 1.049 states/eV per atom
# Energy: -19.6 eV per cell
data_ZnNi2Pt
_chemical_formula_sum 'Zn1 Ni2 Pt1'
_cell_length_a 2.985
_cell_length_b 2.985
_cell_length_c 5.743
_cell_angle_alpha 90.00
_cell_angle_beta 90.00
_cell_angle_gamma 90.00
_space_group_name_H-M_alt 'P 4 m m'
_space_group_IT_number 99
_space_group_name_Hall 'P 4 -2'
loop_
_atom_site_label
_atom_site_type_symbol
_atom_site_fract_x
_atom_site_fract_y
_atom_site_fract_z
Zn1 Zn 0.000 0.000 0.000
Ni1 Ni 0.000 0.000 0.452
Ni2 Ni 0.500 0.500 0.240
Pt1 Pt 0.500 0.500 0.721

***

# Zn2Ni5Pt12 (PBE-GGA, relaxed)
# Calculated formation energy: 196 kJ/mol of formula units
# DOS(E_F): 1.347 states/eV per atom
# Energy: -203.8 eV per cell
data_Zn2Ni5Pt12
_chemical_formula_sum 'Zn4 Ni10 Pt24'
_cell_length_a 14.434
_cell_length_b 5.341
_cell_length_c 8.099
_cell_angle_alpha 90.00
_cell_angle_beta 102.96
_cell_angle_gamma 90.00
_space_group_name_H-M_alt 'C 1 2/m 1'
_space_group_IT_number 12
_space_group_name_Hall '-C 2y'
loop_
_atom_site_label
_atom_site_type_symbol
_atom_site_fract_x
_atom_site_fract_y
_atom_site_fract_z
Zn1 Zn 0.000 0.242 0.000
Ni1 Ni 0.000 0.500 0.500
Ni2 Ni 0.132 0.000 0.875
Ni3 Ni 0.204 0.000 0.386
Pt1 Pt 0.022 0.000 0.333
Pt2 Pt 0.084 0.500 0.267
Pt3 Pt 0.144 0.249 0.605
Pt4 Pt 0.206 0.252 0.126

***

# Zn4NiPt3 (PBE-GGA, relaxed)
# Calculated formation energy: -380 kJ/mol of formula units
# DOS(E_F): 0.158 states/eV per atom
# Energy: -65.9 eV per cell
data_Zn4NiPt3
_chemical_formula_sum 'Zn8 Ni2 Pt6'
_cell_length_a 14.629
_cell_length_b 4.005
_cell_length_c 4.006
_cell_angle_alpha 90.00
_cell_angle_beta 105.71
_cell_angle_gamma 90.00
_space_group_name_H-M_alt 'C 1 2/m 1'
_space_group_IT_number 12
_space_group_name_Hall '-C 2y'
loop_
_atom_site_label
_atom_site_type_symbol
_atom_site_fract_x
_atom_site_fract_y
_atom_site_fract_z
Zn1 Zn 0.122 0.000 0.121
Zn2 Zn 0.122 0.500 0.622
Ni1 Ni 0.000 0.500 0.000
Pt1 Pt 0.000 0.000 0.500
Pt2 Pt 0.249 0.500 0.249

***

# ZnNi14Pt (PBE-GGA, relaxed)
# Calculated formation energy: -47 kJ/mol of formula units
# DOS(E_F): 1.525 states/eV per atom
# Energy: -177.5 eV per cell
data_ZnNi14Pt
_chemical_formula_sum 'Zn2 Ni28 Pt2'
_cell_length_a 8.248
_cell_length_b 5.051
_cell_length_c 8.764
_cell_angle_alpha 90.00
_cell_angle_beta 90.00
_cell_angle_gamma 90.00
_space_group_name_H-M_alt 'A m m 2'
_space_group_IT_number 38
_space_group_name_Hall 'A 2 -2'
loop_
_atom_site_label
_atom_site_type_symbol
_atom_site_fract_x
_atom_site_fract_y
_atom_site_fract_z
Zn1 Zn 0.000 0.000 0.000
Ni1 Ni 0.000 0.249 0.750
Ni2 Ni 0.254 0.000 0.168
Ni3 Ni 0.255 0.000 0.669
Ni4 Ni 0.258 0.249 0.915
Ni5 Ni 0.500 0.000 0.333
Ni6 Ni 0.500 0.000 0.833
Ni7 Ni 0.500 0.250 0.083
Pt1 Pt 0.000 0.000 0.500

***

# Zn4Ni2Pt3 (PBE-GGA, relaxed)
# Calculated formation energy: -321 kJ/mol of formula units
# DOS(E_F): 0.463 states/eV per atom
# Energy: -76.2 eV per cell
data_Zn4Ni2Pt3
_chemical_formula_sum 'Zn8 Ni4 Pt6'
_cell_length_a 8.343
_cell_length_b 3.869
_cell_length_c 8.023
_cell_angle_alpha 90.00
_cell_angle_beta 105.54
_cell_angle_gamma 90.00
_space_group_name_H-M_alt 'C 1 2/m 1'
_space_group_IT_number 12
_space_group_name_Hall '-C 2y'
loop_
_atom_site_label
_atom_site_type_symbol
_atom_site_fract_x
_atom_site_fract_y
_atom_site_fract_z
Zn1 Zn 0.006 0.000 0.332
Zn2 Zn 0.166 0.500 0.894
Ni1 Ni 0.168 0.500 0.221
Pt1 Pt 0.000 0.000 0.000
Pt2 Pt 0.170 0.500 0.573